# In2AsPd, relaxed, DFT GGA-PBE
data_In2AsPd
_chemical_formula_sum 'In4 As2 Pd2'
_space_group_name_H-M_alt 'P 1'
_space_group_IT_number 1
_cell_length_a 7.063
_cell_length_b 7.063
_cell_length_c 7.063
_cell_angle_alpha 124.78
_cell_angle_beta 124.78
_cell_angle_gamma 81.90
loop_
_space_group_symop_operation_xyz
'x,y,z'
loop_
_atom_site_label
_atom_site_type_symbol
_atom_site_fract_x
_atom_site_fract_y
_atom_site_fract_z
_atom_site_occupancy
In1 In 0.122 0.625 0.997 1
In2 In 0.375 0.372 0.497 1
In3 In 0.628 0.125 0.003 1
In4 In 0.875 0.878 0.503 1
As1 As 0.250 0.750 0.500 1
As2 As 0.500 0.500 0.000 1
Pd1 Pd 0.000 0.000 0.000 1
Pd2 Pd 0.750 0.250 0.500 1
# E_form = 0.042 eV per atom
# D(E_F) = 2.8 states/eV/f.u.